Arrangement P

Sm5In | PBE | relaxed

Cell lengths 6.2847, 6.2847, 5.8287 Å; angles 90.00, 90.00, 125.37 degrees
Element x y z (fractional)
Sm 0.0000 0.0000 0.0000
Sm 0.1584 0.8416 0.5000
Sm 0.3423 0.6577 0.0000
Sm 0.6577 0.3423 0.0000
Sm 0.8416 0.1584 0.5000
In 0.5000 0.5000 0.5000

Calculated values
The calculated density comes out at 7.67 g cm⁻³.

Arrangement Q

Sm5In | PBE | relaxed

Cell lengths 8.0882, 8.0882, 4.9527 Å; angles 90.00, 90.00, 144.43 degrees
Element x y z (fractional)
Sm 0.0000 0.0000 0.0000
Sm 0.1619 0.8381 0.5000
Sm 0.3349 0.6651 0.0000
Sm 0.6651 0.3349 0.0000
Sm 0.8381 0.1619 0.5000
In 0.5000 0.5000 0.5000

Calculated values
The calculated density comes out at 7.64 g cm⁻³.

Tell me which of them is the most stable. Sure, it is arrangement Q.

Arrangement P

Sm3In2Sn | PBE | relaxed

Cell lengths 7.9944, 7.9944, 4.3715 Å; angles 90.00, 90.00, 143.16 degrees
Element x y z (fractional)
Sm 0.0000 0.0000 0.0000
Sm 0.3353 0.6647 0.0000
Sm 0.6647 0.3353 0.0000
In 0.1710 0.8290 0.5000
In 0.8290 0.1710 0.5000
Sn 0.5000 0.5000 0.5000

Calculated values
The calculated density comes out at 7.93 g cm⁻³.

Arrangement Q

Sm3In2Sn | PBE | relaxed

Cell lengths 8.7963, 8.7963, 6.5460 Å; angles 101.65, 101.65, 43.49 degrees
Element x y z (fractional)
Sm 0.1411 0.8589 0.7500
Sm 0.2128 0.4489 0.4081
Sm 0.4489 0.2128 0.9081
Sm 0.5511 0.7872 0.0919
Sm 0.7872 0.5511 0.5919
Sm 0.8589 0.1411 0.2500
In 0.0474 0.2849 0.0533
In 0.2849 0.0474 0.5533
In 0.7151 0.9526 0.4467
In 0.9526 0.7151 0.9467
Sn 0.3568 0.6432 0.2500
Sn 0.6432 0.3568 0.7500

Calculated values
The calculated density comes out at 7.80 g cm⁻³.

Tell me which of them is the most stable. Sure, it is arrangement P.

Arrangement P

SrSmTlIn | PBE | relaxed

Cell lengths 5.6004, 5.6004, 5.6004 Å; angles 60.00, 60.00, 60.00 degrees
Element x y z (fractional)
Sr 0.0000 0.0000 0.0000
Sm 0.5000 0.5000 0.5000
Tl 0.7500 0.7500 0.7500
In 0.2500 0.2500 0.2500

Calculated values
The calculated density comes out at 7.45 g cm⁻³.

Arrangement Q

SrSmTlIn | PBE | relaxed

Cell lengths 3.9377, 3.9377, 8.0369 Å; angles 90.00, 90.00, 90.00 degrees
Element x y z (fractional)
Sr 0.0000 0.0000 0.0000
Sm 0.0000 0.0000 0.4963
Tl 0.5000 0.5000 0.7298
In 0.5000 0.5000 0.2689

Calculated values
The calculated density comes out at 7.42 g cm⁻³.

Tell me which of them is the most stable. Sure, it is arrangement Q.